Density functional theory data (PBE) for an optimized crystal structure of InHgOs2.

POSCAR file:
```
InHgOs2
1.0
-2.042 2.042 4.164
2.042 -2.042 4.164
2.042 2.042 -4.164
In Hg Os
1 1 2
direct
0.000 0.000 0.000
0.500 0.500 0.000
0.250 0.750 0.500
0.750 0.250 0.500
```

Calculated values
- Fermi-level density of states: 5.57 states/eV/cell
- Formation enthalpy at 0 K: 0.9599 eV per atom
- Excess energy over the best structure of this formula in the dataset: 620 meV per atom


Density functional theory data (PBE) for an optimized crystal structure of CsNb2I2.

POSCAR file:
```
CsNb2I2
1.0
-2.105 2.105 8.573
2.105 -2.105 8.573
2.105 2.105 -8.573
Cs Nb I
1 2 2
direct
0.000 0.000 0.000
0.250 0.750 0.500
0.750 0.250 0.500
0.364 0.364 0.000
0.636 0.636 0.000
```

Calculated values
- Fermi-level density of states: 5.59 states/eV/cell
- Formation energy from raw total energies: 0.139 eV per atom
- Excess energy over the best structure of this formula in the dataset: 0 meV per atom


Density functional theory data (PBE) for an optimized crystal structure of LiAc2Ge3Pt4.

POSCAR file:
```
LiAc2Ge3Pt4
1.0
4.452 0.000 0.000
0.000 4.452 0.000
0.000 0.000 10.288
Li Ac Ge Pt
1 2 3 4
direct
0.000 0.000 0.000
0.000 0.500 0.754
0.500 0.000 0.246
0.000 0.500 0.373
0.500 0.000 0.627
0.500 0.500 0.000
0.000 0.000 0.500
0.000 0.500 0.128
0.500 0.000 0.872
0.500 0.500 0.500
```

Calculated values
- Fermi-level density of states: 5.28 states/eV/cell
- Formation enthalpy at 0 K: -0.9389 eV per atom


Density functional theory data (PBE) for an optimized crystal structure of CuTe.

POSCAR file:
```
CuTe
1.0
-5.377 5.377 2.025
5.377 -5.377 2.025
5.377 5.377 -2.025
Cu Te
4 4
direct
0.155 0.289 0.444
0.289 0.845 0.135
0.711 0.155 0.865
0.845 0.711 0.556
0.083 0.725 0.808
0.275 0.083 0.358
0.725 0.917 0.642
0.917 0.275 0.192
```

Calculated values
- Fermi-level density of states: 6.99 states/eV/cell
- Formation energy from raw total energies: 0.078 eV per atom